Record 1
Crystalline Mg6BSb at its relaxed geometry, computed with PBEsol. Values from VASP.

Summary:
As for the space group: Amm2 (38). For the density of states at the Fermi level, the calculation gives 2.6 states/eV per cell. The calculation puts the energy relative to the elements, uncorrected at 1.188 eV/f.u. As for the density: 2.9 g/cm3. Its calculated total energy is -20.69 eV/f.u.

Geometry as Quantum ESPRESSO input:
```
&SYSTEM
  ibrav = 0, nat = 8, ntyp = 3
/
ATOMIC_SPECIES
Mg 24.30 Mg.upf
Sb 121.76 Sb.upf
B 10.81 B.upf
CELL_PARAMETERS angstrom
4.040 0.000 0.000
0.000 6.348 0.062
0.000 -0.781 6.300
ATOMIC_POSITIONS crystal
Mg 0.500 0.601 0.886
Mg 0.500 0.114 0.399
Mg 0.000 0.835 0.165
Mg 0.000 0.292 0.058
Mg 0.000 0.382 0.618
Mg 0.000 0.942 0.708
Sb 0.500 0.616 0.384
B 0.500 0.219 0.781
```

---

Record 2
Crystalline Na2BO at its relaxed geometry, computed with PBEsol. Values from VASP.

Summary:
As for the space group: Fm-3m (225). For the density of states at the Fermi level, the calculation gives 2.0 states/eV per cell. The calculation puts the energy relative to the elements, uncorrected at 2.171 eV/f.u. As for the density: 2.2 g/cm3. Its calculated total energy is -12.89 eV/f.u.

Geometry as Quantum ESPRESSO input:
```
&SYSTEM
  ibrav = 0, nat = 4, ntyp = 3
/
ATOMIC_SPECIES
Na 22.99 Na.upf
O 16.00 O.upf
B 10.81 B.upf
CELL_PARAMETERS angstrom
4.255 0.000 0.000
2.127 3.685 0.000
2.127 1.228 3.474
ATOMIC_POSITIONS crystal
Na 0.250 0.250 0.250
Na 0.750 0.750 0.750
O 0.500 0.500 0.500
B 0.000 0.000 0.000
```

---

Record 3
Crystalline LiMg2Al at its relaxed geometry, computed with PBEsol. Values from VASP.

Summary:
As for the space group: Pm (6). For the density of states at the Fermi level, the calculation gives 1.2 states/eV per cell. The calculation puts the formation energy at -0.03 eV/atom. As for the density: 1.8 g/cm3. Its calculated total energy is -9.62 eV/f.u.

Geometry as Quantum ESPRESSO input:
```
&SYSTEM
  ibrav = 0, nat = 4, ntyp = 3
/
ATOMIC_SPECIES
Mg 24.30 Mg.upf
Li 6.94 Li.upf
Al 26.98 Al.upf
CELL_PARAMETERS angstrom
-2.903 0.369 0.682
0.339 -3.259 3.207
2.836 3.668 3.427
ATOMIC_POSITIONS crystal
Mg 0.580 0.500 0.283
Mg 0.920 0.000 0.966
Li 0.310 0.500 0.753
Al 0.190 0.000 0.498
```

---

Record 4
Crystalline TlRu3 at its relaxed geometry, computed with PBEsol. Values from VASP.

Summary:
As for the space group: C2/m (12). For the density of states at the Fermi level, the calculation gives 5.8 states/eV per cell. The calculation puts the formation energy at 0.53 eV/atom. For the relative energy among the computed polymorphs, the calculation gives 51 meV/atom. As for the density: 13.8 g/cm3. Its calculated total energy is -31.03 eV/f.u.

Geometry as Quantum ESPRESSO input:
```
&SYSTEM
  ibrav = 0, nat = 4, ntyp = 2
/
ATOMIC_SPECIES
Tl 204.38 Tl.upf
Ru 101.07 Ru.upf
CELL_PARAMETERS angstrom
-0.279 2.729 -0.670
-1.300 -0.479 4.541
4.770 0.626 0.562
ATOMIC_POSITIONS crystal
Tl 0.000 0.000 0.000
Ru 0.500 0.000 0.500
Ru 0.239 0.478 0.718
Ru 0.761 0.522 0.282
```

---

Record 5
Crystalline SiTe at its relaxed geometry, computed with PBEsol. Values from VASP.

Summary:
As for the space group: C2/m (12). For the density of states at the Fermi level, the calculation gives 1.1 states/eV per cell. The calculation puts the energy relative to the elements, uncorrected at 0.316 eV/f.u. As for the density: 5.4 g/cm3. Its calculated total energy is -8.96 eV/f.u.

Geometry as Quantum ESPRESSO input:
```
&SYSTEM
  ibrav = 0, nat = 4, ntyp = 2
/
ATOMIC_SPECIES
Si 28.09 Si.upf
Te 127.60 Te.upf
CELL_PARAMETERS angstrom
-1.549 2.271 2.885
-2.157 -3.307 1.445
5.538 -1.841 1.672
ATOMIC_POSITIONS crystal
Si 0.610 0.573 0.220
Si 0.390 0.427 0.780
Te 0.143 0.173 0.286
Te 0.857 0.827 0.714
```

---

Record 6
Crystalline InGa3I at its relaxed geometry, computed with PBEsol. Values from VASP.

Summary:
As for the space group: Pm-3m (221). For the density of states at the Fermi level, the calculation gives 2.4 states/eV per cell. The calculation puts the energy relative to the elements, uncorrected at 1.424 eV/f.u. As for the density: 5.0 g/cm3. Its calculated total energy is -13.35 eV/f.u.

Geometry as Quantum ESPRESSO input:
```
&SYSTEM
  ibrav = 0, nat = 5, ntyp = 3
/
ATOMIC_SPECIES
I 126.90 I.upf
In 114.82 In.upf
Ga 69.72 Ga.upf
CELL_PARAMETERS angstrom
5.307 0.000 0.000
0.000 5.307 0.000
0.000 0.000 5.307
ATOMIC_POSITIONS crystal
I 0.500 0.500 0.500
In 0.000 0.000 0.000
Ga 0.000 0.500 0.000
Ga 0.000 0.000 0.500
Ga 0.500 0.000 0.000
```

---

Record 7
Crystalline La2ZnRh at its relaxed geometry, computed with PBEsol. Values from VASP.

Summary:
As for the space group: Amm2 (38). For the density of states at the Fermi level, the calculation gives 3.7 states/eV per cell. The calculation puts the formation energy at -0.46 eV/atom. As for the density: 7.6 g/cm3. Its calculated total energy is -22.25 eV/f.u.

Geometry as Quantum ESPRESSO input:
```
&SYSTEM
  ibrav = 0, nat = 4, ntyp = 3
/
ATOMIC_SPECIES
La 138.91 La.upf
Zn 65.41 Zn.upf
Rh 102.91 Rh.upf
CELL_PARAMETERS angstrom
-3.969 0.862 0.330
0.091 -1.202 4.227
3.209 4.663 1.257
ATOMIC_POSITIONS crystal
La 0.110 0.000 0.221
La 0.389 0.500 0.778
Zn 0.683 0.500 0.366
Rh 0.823 0.000 0.646
```

---

Record 8
Crystalline NbFeSn2Pb at its relaxed geometry, computed with PBEsol. Values from VASP.

Summary:
As for the space group: P4/mmm (123). For the density of states at the Fermi level, the calculation gives 4.7 states/eV per cell. The calculation puts the formation energy at 0.78 eV/atom. As for the density: 7.5 g/cm3. Its calculated total energy is -28.40 eV/f.u.

Geometry as Quantum ESPRESSO input:
```
&SYSTEM
  ibrav = 0, nat = 5, ntyp = 4
/
ATOMIC_SPECIES
Nb 92.91 Nb.upf
Sn 118.71 Sn.upf
Fe 55.84 Fe.upf
Pb 207.20 Pb.upf
CELL_PARAMETERS angstrom
-1.872 -1.807 3.784
-1.526 -4.282 -2.800
4.631 -2.399 1.145
ATOMIC_POSITIONS crystal
Nb 0.000 0.000 0.000
Sn 0.000 0.000 0.500
Sn 0.000 0.500 0.000
Fe 0.500 0.000 0.000
Pb 0.500 0.500 0.500
```

---

Record 9
Crystalline TaTeRu2 at its relaxed geometry, computed with PBEsol. Values from VASP.

Summary:
As for the space group: Cmmm (65). For the density of states at the Fermi level, the calculation gives 2.7 states/eV per cell. The calculation puts the energy relative to the elements, uncorrected at 0.496 eV/f.u. As for the density: 13.1 g/cm3. Its calculated total energy is -35.93 eV/f.u.

Geometry as Quantum ESPRESSO input:
```
&SYSTEM
  ibrav = 0, nat = 4, ntyp = 3
/
ATOMIC_SPECIES
Te 127.60 Te.upf
Ru 101.07 Ru.upf
Ta 180.95 Ta.upf
CELL_PARAMETERS angstrom
3.107 0.000 0.000
0.000 4.609 -0.007
0.000 -0.889 4.522
ATOMIC_POSITIONS crystal
Te 0.500 0.500 0.500
Ru 0.000 0.000 0.500
Ru 0.000 0.500 0.000
Ta 0.500 0.000 0.000
```

---

Record 10
Crystalline FeBrF2 at its relaxed geometry, computed with PBEsol. Values from VASP.

Summary:
As for the space group: R-3m (166). For the density of states at the Fermi level, the calculation gives 2.1 states/eV per cell. The calculation puts the energy relative to the elements, uncorrected at -3.589 eV/f.u. For the relative energy among the computed polymorphs, the calculation gives 270 meV/atom. As for the density: 4.4 g/cm3. Its calculated total energy is -18.28 eV/f.u.

Geometry as Quantum ESPRESSO input:
```
&SYSTEM
  ibrav = 0, nat = 4, ntyp = 3
/
ATOMIC_SPECIES
Br 79.90 Br.upf
F 19.00 F.upf
Fe 55.84 Fe.upf
CELL_PARAMETERS angstrom
2.839 0.000 0.000
1.419 2.458 0.000
1.419 0.819 9.388
ATOMIC_POSITIONS crystal
Br 0.500 0.500 0.500
F 0.939 0.939 0.182
F 0.061 0.061 0.818
Fe 0.000 0.000 0.000
```

---

Record 11
Crystalline ScTa2Hg at its relaxed geometry, computed with PBEsol. Values from VASP.

Summary:
As for the space group: Immm (71). For the density of states at the Fermi level, the calculation gives 3.7 states/eV per cell. The calculation puts the formation energy at 0.11 eV/atom. As for the density: 13.2 g/cm3. Its calculated total energy is -31.84 eV/f.u.

Geometry as Quantum ESPRESSO input:
```
&SYSTEM
  ibrav = 0, nat = 4, ntyp = 3
/
ATOMIC_SPECIES
Hg 200.59 Hg.upf
Ta 180.95 Ta.upf
Sc 44.96 Sc.upf
CELL_PARAMETERS angstrom
3.339 0.000 0.000
0.000 4.568 0.000
-1.670 -2.284 4.990
ATOMIC_POSITIONS crystal
Hg 0.500 0.000 0.000
Ta 0.758 0.758 0.517
Ta 0.242 0.242 0.483
Sc 0.000 0.500 0.000
```

---

Record 12
Crystalline ErNiC2 at its relaxed geometry, computed with PBEsol. Values from VASP.

Summary:
As for the space group: Amm2 (38). For the density of states at the Fermi level, the calculation gives 1.0 states/eV per cell. The calculation puts the formation energy at -0.42 eV/atom. As for the density: 9.1 g/cm3. Its calculated total energy is -32.04 eV/f.u.

Geometry as Quantum ESPRESSO input:
```
&SYSTEM
  ibrav = 0, nat = 4, ntyp = 3
/
ATOMIC_SPECIES
C 12.01 C.upf
Ni 58.69 Ni.upf
Er 167.26 Er.upf
CELL_PARAMETERS angstrom
3.699 0.009 0.000
-1.010 3.558 0.000
0.000 0.000 3.479
ATOMIC_POSITIONS crystal
C 0.852 0.457 0.500
C 0.543 0.148 0.500
Ni 0.387 0.613 0.500
Er 0.997 0.003 0.000
```